[1]
Below is crystalline PrPa2Co at its relaxed geometry, with properties calculated at the PBE level.

Structure (CIF):
```
data_PrPa2Co
_chemical_formula_sum 'Pr3 Pa6 Co3'
_cell_length_a 3.5584
_cell_length_b 3.5584
_cell_length_c 27.3924
_cell_angle_alpha 90.00
_cell_angle_beta 90.00
_cell_angle_gamma 120.00
_symmetry_space_group_name_H-M 'R -3 m'
_symmetry_Int_Tables_number 166
_symmetry_space_group_name_Hall '-R 3 2"'
loop_
_atom_site_label
_atom_site_fract_x
_atom_site_fract_y
_atom_site_fract_z
Pr1 0.0000 0.0000 0.0000
Pa1 0.0000 0.0000 0.2272
Co1 0.0000 0.0000 0.5000
```


[2]
Below is crystalline Pr12PaCo7 at its relaxed geometry, with properties calculated at the PBE level.

Structure (CIF):
```
data_Pr12PaCo7
_chemical_formula_sum 'Pr36 Pa3 Co21'
_cell_length_a 14.6199
_cell_length_b 14.6199
_cell_length_c 8.9130
_cell_angle_alpha 90.00
_cell_angle_beta 90.00
_cell_angle_gamma 120.00
_symmetry_space_group_name_H-M 'R -3'
_symmetry_Int_Tables_number 148
_symmetry_space_group_name_Hall '-R 3'
loop_
_atom_site_label
_atom_site_fract_x
_atom_site_fract_y
_atom_site_fract_z
Pr1 0.0078 0.5774 0.3343
Pr2 0.0439 0.8745 0.2982
Pa1 0.0000 0.0000 0.0000
Co1 0.0000 0.0000 0.5000
Co2 0.0449 0.8676 0.9135
```


[3]
Below is crystalline PrPaCo4 at its relaxed geometry, with properties calculated at the PBE level.

Structure (CIF):
```
data_PrPaCo4
_chemical_formula_sum 'Pr4 Pa4 Co16'
_cell_length_a 7.140
_cell_length_b 7.140
_cell_length_c 7.140
_cell_angle_alpha 90.00
_cell_angle_beta 90.00
_cell_angle_gamma 90.00
_symmetry_space_group_name_H-M 'F -4 3 m'
_symmetry_Int_Tables_number 216
_symmetry_space_group_name_Hall 'F -4 2 3'
loop_
_atom_site_label
_atom_site_fract_x
_atom_site_fract_y
_atom_site_fract_z
Pr1 0.000 0.000 0.000
Pa1 0.250 0.250 0.250
Co1 0.124 0.124 0.624
```


[4]
Below is crystalline Pr5PaCo4 at its relaxed geometry, with properties calculated at the PBE level.

Structure (CIF):
```
data_Pr5PaCo4
_chemical_formula_sum 'Pr10 Pa2 Co8'
_cell_length_a 18.055
_cell_length_b 4.185
_cell_length_c 7.294
_cell_angle_alpha 90.00
_cell_angle_beta 113.75
_cell_angle_gamma 90.00
_symmetry_space_group_name_H-M 'C 1 2/m 1'
_symmetry_Int_Tables_number 12
_symmetry_space_group_name_Hall '-C 2y'
loop_
_atom_site_label
_atom_site_fract_x
_atom_site_fract_y
_atom_site_fract_z
Pr1 0.000 0.000 0.000
Pr2 0.158 0.500 0.541
Pr3 0.178 0.500 0.060
Pa1 0.000 0.000 0.500
Co1 0.019 0.500 0.709
Co2 0.133 0.000 0.782
```


| no. | calculated volume (Å³/cell) | ΔH_f (0 K) (meV per atom) |
| --- | --- | --- |
| 1 | 300.4 | 24 |
| 2 | 1649.8 | -71 |
| 3 | 364.0 | -116 |
| 4 | 504.4 | -141 |